# 1
# CuMo2Rh | Alexandria via LeMat-Bulk | PBE | optimized geometry
data_CuMo2Rh
_chemical_formula_sum 'Cu1 Mo2 Rh1'
_space_group_name_H-M_alt 'P 1'
_space_group_IT_number 1
_cell_length_a 4.674
_cell_length_b 4.674
_cell_length_c 4.873
_cell_angle_alpha 82.53
_cell_angle_beta 82.53
_cell_angle_gamma 33.63
loop_
_space_group_symop_operation_xyz
'x,y,z'
loop_
_atom_site_label
_atom_site_fract_x
_atom_site_fract_y
_atom_site_fract_z
Cu1 0.752 0.752 0.753
Mo1 0.004 0.004 0.981
Mo2 0.244 0.244 0.263
Rh1 0.500 0.500 0.503
# - Energy of formation: 0.091 eV/atom
# - ρ: 10.19 Mg/m³

# 2
# ZrP2AuO8 | Alexandria via LeMat-Bulk | PBE | optimized geometry
data_ZrP2AuO8
_chemical_formula_sum 'Zr1 P2 Au1 O8'
_space_group_name_H-M_alt 'P 1'
_space_group_IT_number 1
_cell_length_a 4.938
_cell_length_b 4.938
_cell_length_c 8.008
_cell_angle_alpha 72.04
_cell_angle_beta 72.04
_cell_angle_gamma 60.00
loop_
_space_group_symop_operation_xyz
'x,y,z'
loop_
_atom_site_label
_atom_site_fract_x
_atom_site_fract_y
_atom_site_fract_z
Zr1 0.000 0.000 0.000
P1 0.253 0.253 0.241
P2 0.747 0.747 0.759
Au1 0.500 0.500 0.500
O1 0.184 0.184 0.449
O2 0.582 0.252 0.171
O3 0.816 0.816 0.551
O4 0.994 0.582 0.171
O5 0.006 0.418 0.829
O6 0.252 0.994 0.171
O7 0.748 0.006 0.829
O8 0.418 0.748 0.829
# - Raw formation energy: -1933 meV/atom
# - ρ: 5.02 Mg/m³

Which value of ρ does entry 1 give?
10.19 Mg/m³